No. 1
## UHF (PBE)

Data for UHF after structural relaxation.

Values from the calculation:
E_tot = -41.49 eV/cell

abc: 3.6348 3.6348 8.6420
angles: 90.00 90.00 120.00
Atoms (fractional coordinates):
H1 0.6667 0.3333 0.9115
F1 0.0000 0.0000 0.3160
H2 0.3333 0.6667 0.0885
U1 0.3333 0.6667 0.8350
U2 0.6667 0.3333 0.1650
F2 0.0000 0.0000 0.6840


No. 2
## BeSb2Ru (PBE)

Data for BeSb2Ru after structural relaxation.

Values from the calculation:
Formation energy (no corrections) = 0.4205 eV/atom
Relative energy among the computed polymorphs = 0.489 eV per atom

abc: 4.9342 4.9342 4.9342
angles: 134.79 119.46 78.68
Atoms (fractional coordinates):
Sb1 0.9774 0.9774 0.0000
Ru1 0.2500 0.7500 0.5000
Sb2 0.5226 0.5226 0.0000
Be1 0.7500 0.2500 0.5000


no.,Fermi-level density of states (states/eV/f.u.)
1,1.65
2,2.17